Here is a relaxed AuSe crystal from Alexandria. Energies are from GGA-PBE.

Cell lengths 3.018, 4.086, 7.714 Å; angles 90.00, 100.99, 90.00 degrees
Element x y z (fractional)
Au 0.056 0.250 0.119
Au 0.944 0.750 0.881
Se 0.149 0.750 0.313
Se 0.851 0.250 0.687

Computed properties:
**Magnetic moment**: 0.0 μB/f.u.
**Symmetry**: P2_1/m (11)
**Raw formation energy**: 0.080 eV per atom
**VASP energy**: -13.21 eV per cell